# 1
Entry from the Alexandria database: a geometry-optimized Er4Te structure (PBE).

Unit cell a=5.6285 b=5.6285 c=5.6285 alpha=90.00 beta=90.00 gamma=90.00
With the nearest neighbours (Å) after each atom.
Fractional positions:
Er1 0.0000 0.5000 0.5000  2 Te 2.81
Er2 0.5000 0.5000 0.0000  2 Te 2.81
Er3 0.5000 0.0000 0.5000  2 Te 2.81
Er4 0.0000 0.0000 0.0000  12 Er 3.98
Te1 0.5000 0.5000 0.5000  6 Er 2.81

Summary:
The value obtained for the calculated total energy is -4.246 eV/atom. The value obtained for the relative energy among the computed polymorphs is 473 meV per atom. Its crystal system is cubic.

# 2
Entry from the Alexandria database: a geometry-optimized Er5Te3 structure (PBE).

Unit cell a=6.0711 b=8.9625 c=8.9625 alpha=120.00 beta=90.00 gamma=90.00
With the nearest neighbours (Å) after each atom.
Fractional positions:
Te1 0.2500 0.3847 0.0000  9 Er 3.04-3.25
Te2 0.7500 0.6153 0.0000  9 Er 3.04-3.25
Te3 0.7500 0.0000 0.6153  9 Er 3.04-3.25
Te4 0.2500 0.0000 0.3847  9 Er 3.04-3.25
Te5 0.7500 0.3847 0.3847  9 Er 3.04-3.25
Te6 0.2500 0.6153 0.6153  9 Er 3.04-3.25
Er1 0.2500 0.7452 0.0000  5 Te 3.04-3.25
Er2 0.5000 0.3333 0.6667  2 Er 3.04, 6 Te 3.17
Er3 0.0000 0.6667 0.3333  2 Er 3.04, 6 Te 3.17
Er4 0.2500 0.0000 0.7452  5 Te 3.04-3.25
Er5 0.0000 0.3333 0.6667  2 Er 3.04, 6 Te 3.17
Er6 0.7500 0.7452 0.7452  5 Te 3.04-3.25
Er7 0.5000 0.6667 0.3333  2 Er 3.04, 6 Te 3.17
Er8 0.7500 0.2548 0.0000  5 Te 3.04-3.25
Er9 0.2500 0.2548 0.2548  5 Te 3.04-3.25
Er10 0.7500 0.0000 0.2548  5 Te 3.04-3.25

Summary:
The value obtained for the calculated total energy is -4.894 eV/atom. Its crystal system is hexagonal.

For reference, total magnetization by record: 0.80; 0.00 μB per cell.
For reference, formation energy without anion corrections by record: 0.032; -0.864 eV per atom.